## Zr2CuO (PBE)

Data for crystalline Zr2CuO at its relaxed geometry.

Geometry as POSCAR:
```
Zr2CuO
1.0
-2.0513 1.8391 1.1581
-2.5783 -1.1000 1.0362
1.9832 -0.7079 8.4928
Zr Cu O
2 1 1
direct
0.1056 0.1056 0.6832 Zr
0.8944 0.8944 0.3168 Zr
0.0000 0.0000 0.0000 Cu
0.5000 0.5000 0.5000 O
```

Summary:
- DOS at the Fermi energy: 1.26 states/eV/f.u.
- Total energy: -7.27 eV per atom

## KPa3Pd4O12 (PBE)

Data for crystalline KPa3Pd4O12 at its relaxed geometry.

Geometry as POSCAR:
```
KPa3Pd4O12
1.0
7.3471 -0.0167 -0.0233
-1.7865 7.1266 -0.0233
-1.7865 -2.2842 6.7507
O Pd Pa K
12 4 3 1
direct
0.0961 0.9039 0.5000 O
0.3861 0.0302 0.2846 O
0.9698 0.6139 0.7154 O
0.6139 0.7154 0.9698 O
0.3227 0.6773 0.5000 O
0.7154 0.9698 0.6139 O
0.5000 0.0961 0.9039 O
0.0302 0.2846 0.3861 O
0.5000 0.3227 0.6773 O
0.2846 0.3861 0.0302 O
0.6773 0.5000 0.3227 O
0.9039 0.5000 0.0961 O
0.9090 0.0910 0.5000 Pd
0.5000 0.9090 0.0910 Pd
0.5000 0.5000 0.5000 Pd
0.0910 0.5000 0.9090 Pd
0.4309 0.0000 0.5691 Pa
0.0000 0.5691 0.4309 Pa
0.5691 0.4309 0.0000 Pa
0.0000 0.0000 0.0000 K
```

Summary:
- DOS at the Fermi energy: 14.92 states/eV/f.u.
- Total energy: -7.34 eV per atom

## MnFe2I6 (PBE)

Data for crystalline MnFe2I6 at its relaxed geometry.

Geometry as POSCAR:
```
MnFe2I6
1.0
0.3693 6.9805 1.8304
-10.1059 -1.8028 -3.7877
-2.2714 -5.6020 9.1206
I Fe Mn
12 4 2
direct
0.1786 0.6128 0.7590 I
0.3937 0.5851 0.1921 I
0.6063 0.4149 0.8079 I
0.3214 0.2410 0.3872 I
0.0755 0.2100 0.9864 I
0.9245 0.7900 0.0136 I
0.5755 0.9864 0.2100 I
0.1063 0.8079 0.4149 I
0.8937 0.1921 0.5851 I
0.6786 0.7590 0.6128 I
0.4245 0.0136 0.7900 I
0.8214 0.3872 0.2410 I
0.8569 0.6446 0.8017 Fe
0.1431 0.3554 0.1983 Fe
0.3569 0.8017 0.6446 Fe
0.6431 0.1983 0.3554 Fe
0.2500 0.7840 0.2160 Mn
0.7500 0.2160 0.7840 Mn
```

Summary:
- DOS at the Fermi energy: 11.19 states/eV/f.u.
- Distance to the lowest polymorph of the same formula: 0.000 eV per atom
- Total energy: -4.11 eV per atom

## AlAgC (PBE)

Data for crystalline AlAgC at its relaxed geometry.

Geometry as POSCAR:
```
AlAgC
1.0
-3.1108 3.0084 -1.4876
-1.3104 -3.5926 2.5132
0.8956 3.9471 6.1093
Ag C Al
2 2 2
direct
0.6667 0.3333 0.7500 Ag
0.3333 0.6667 0.2500 Ag
0.0000 0.0000 0.0000 C
0.0000 0.0000 0.5000 C
0.0000 0.0000 0.7500 Al
0.0000 0.0000 0.2500 Al
```

Summary:
- DOS at the Fermi energy: 1.55 states/eV/f.u.
- Total energy: -3.84 eV per atom
- Formation enthalpy at 0 K: 1.434 eV per atom

## Nd2MgTl2 (PBE)

Data for crystalline Nd2MgTl2 at its relaxed geometry.

Geometry as POSCAR:
```
Nd2MgTl2
1.0
4.8177 0.0000 0.0000
0.0000 7.8261 0.0000
0.0000 0.0000 7.8261
Tl Mg Nd
4 2 4
direct
0.0000 0.3606 0.8606 Tl
0.0000 0.1394 0.3606 Tl
0.0000 0.8606 0.6394 Tl
0.0000 0.6394 0.1394 Tl
0.0000 0.0000 0.0000 Mg
0.0000 0.5000 0.5000 Mg
0.5000 0.8325 0.3325 Nd
0.5000 0.6675 0.8325 Nd
0.5000 0.1675 0.6675 Nd
0.5000 0.3325 0.1675 Nd
```

Summary:
- DOS at the Fermi energy: 4.72 states/eV/f.u.
- Distance to the lowest polymorph of the same formula: 0.000 eV per atom
- Total energy: -3.49 eV per atom
- Formation enthalpy at 0 K: -0.320 eV per atom

## Be2Fe2Te (PBE)

Data for crystalline Be2Fe2Te at its relaxed geometry.

Geometry as POSCAR:
```
Be2Fe2Te
1.0
6.1078 0.0000 0.0000
0.0000 6.1078 0.0000
0.0000 0.0000 3.2189
Fe Te Be
4 2 4
direct
0.8358 0.3358 0.5000 Fe
0.1642 0.6642 0.5000 Fe
0.6642 0.8358 0.5000 Fe
0.3358 0.1642 0.5000 Fe
0.0000 0.0000 0.0000 Te
0.5000 0.5000 0.0000 Te
0.6165 0.1165 0.0000 Be
0.8835 0.6165 0.0000 Be
0.3835 0.8835 0.0000 Be
0.1165 0.3835 0.0000 Be
```

Summary:
- DOS at the Fermi energy: 3.86 states/eV/f.u.
- Distance to the lowest polymorph of the same formula: 0.000 eV per atom
- Total energy: -5.22 eV per atom

- total energy of number 6 (Be2Fe2Te)?
  -5.22 eV per atom

- Number 4 is which compound?
  AlAgC

- DOS at the Fermi energy of number 4 (AlAgC)?
  1.55 states/eV/f.u.

- Which value of total energy does entry 6 give?
  -5.22 eV per atom